A plane-wave DFT calculation with PBE-GGA was carried out for a relaxed structure of CsTi2Se2.

Calculated values
Uncorrected energy, eV per atom: -5.671
E_form (uncorrected), eV/f.u.: -4.7

Structure (CIF):
```
data_CsTi2Se2
_symmetry_space_group_name_H-M 'I 4/m m m'
_symmetry_Int_Tables_number 139
_symmetry_space_group_name_Hall '-I 4 2'
_cell_length_a 4.057
_cell_length_b 4.057
_cell_length_c 15.708
_cell_angle_alpha 90.00
_cell_angle_beta 90.00
_cell_angle_gamma 90.00
loop_
_atom_site_label
_atom_site_type_symbol
_atom_site_fract_x
_atom_site_fract_y
_atom_site_fract_z
_atom_site_occupancy
Cs1 Cs 0.000 0.000 0.000 1
Ti1 Ti 0.000 0.500 0.250 1
Se1 Se 0.000 0.000 0.353 1
```